No. 1
VASP calculation (GGA-PBE) on a relaxed KTaCu2S4 crystal.

Cell: 9.6090 9.6090 7.4931 Å, 90.00 90.00 146.49°
Closest atoms and distances in Å follow each position.
Fractional coordinates of all 16 atoms:
S 0.8200 0.3994 0.5943  1 Ta 2.29, 1 Cu 2.35
S 0.9982 0.2125 0.8452  1 Ta 2.31, 2 Cu 2.33-2.34
S 0.2125 0.9982 0.3452  1 Ta 2.31, 2 Cu 2.33-2.34
S 0.6299 0.6167 0.5943  1 Ta 2.34, 3 Cu 2.35
S 0.3994 0.8200 0.0943  1 Ta 2.29, 1 Cu 2.35
S 0.9983 0.2126 0.3435  1 Ta 2.31, 2 Cu 2.33-2.34
S 0.6167 0.6299 0.0943  1 Ta 2.34, 3 Cu 2.35
S 0.2126 0.9983 0.8435  1 Ta 2.31, 2 Cu 2.33-2.34
Cu 0.8797 0.8797 0.3444  4 S 2.33-2.35
Cu 0.4681 0.2537 0.5943  4 S 2.34-2.35
Cu 0.8797 0.8797 0.8444  4 S 2.33-2.35
Cu 0.2537 0.4681 0.0943  4 S 2.34-2.35
Ta 0.7492 0.9722 0.0943  4 S 2.29-2.34
Ta 0.9722 0.7492 0.5943  4 S 2.29-2.34
K 0.4368 0.8002 0.5941  7 S 3.37-3.67
K 0.8002 0.4368 0.0941  7 S 3.37-3.67

Output
Space group: Ama2, No. 40
Final energy: -5.4791 eV/atom
Total moment: 0.00 μB per formula unit

---

No. 2
VASP calculation (GGA-PBE) on a relaxed Cs2ZrCu3F12 crystal.

Cell: 6.9596 6.9596 19.8688 Å, 90.00 90.00 60.01°
Closest atoms and distances in Å follow each position.
Fractional coordinates of all 54 atoms:
F 0.6170 0.1914 0.2790  1 Zr 2.02, 1 Cu 2.25
F 0.5248 0.9503 0.6123  1 Zr 2.02, 1 Cu 2.25
F 0.1419 0.1419 0.0544  1 Zr 2.02, 1 Cu 2.25
F 0.1979 0.6043 0.5219  2 Cu 1.90
F 0.8582 0.2836 0.9456  1 Zr 2.02, 1 Cu 2.25
F 0.8021 0.8021 0.4781  2 Cu 1.90
F 0.8645 0.2709 0.1886  2 Cu 1.90
F 0.8086 0.8086 0.7210  1 Zr 2.02, 1 Cu 2.25
F 0.9503 0.5248 0.6123  1 Zr 2.02, 1 Cu 2.25
F 0.8645 0.8645 0.1886  2 Cu 1.90
F 0.5248 0.5248 0.6123  1 Zr 2.02, 1 Cu 2.25
F 0.5312 0.9376 0.8553  2 Cu 1.90
F 0.5312 0.5312 0.8552  2 Cu 1.90
F 0.4688 0.4688 0.1448  2 Cu 1.90
F 0.1355 0.7291 0.8114  2 Cu 1.90
F 0.1418 0.7164 0.0544  1 Zr 2.02, 1 Cu 2.25
F 0.8021 0.3957 0.4781  2 Cu 1.90
F 0.2836 0.8582 0.9456  1 Zr 2.02, 1 Cu 2.25
F 0.8581 0.8581 0.9456  1 Zr 2.02, 1 Cu 2.25
F 0.3830 0.8086 0.7210  1 Zr 2.02, 1 Cu 2.25
F 0.4688 0.0624 0.1447  2 Cu 1.90
F 0.7164 0.1418 0.0544  1 Zr 2.02, 1 Cu 2.25
F 0.6043 0.1979 0.5219  2 Cu 1.90
F 0.0497 0.4752 0.3877  1 Zr 2.02, 1 Cu 2.25
F 0.1979 0.1979 0.5219  2 Cu 1.90
F 0.9376 0.5312 0.8553  2 Cu 1.90
F 0.8086 0.3830 0.7210  1 Zr 2.02, 1 Cu 2.25
F 0.1914 0.1914 0.2790  1 Zr 2.02, 1 Cu 2.25
F 0.2709 0.8645 0.1886  2 Cu 1.90
F 0.1355 0.1355 0.8114  2 Cu 1.90
F 0.0624 0.4688 0.1447  2 Cu 1.90
F 0.7291 0.1355 0.8114  2 Cu 1.90
F 0.4752 0.4752 0.3877  1 Zr 2.02, 1 Cu 2.25
F 0.3957 0.8021 0.4781  2 Cu 1.90
F 0.4752 0.0497 0.3877  1 Zr 2.02, 1 Cu 2.25
F 0.1914 0.6170 0.2790  1 Zr 2.02, 1 Cu 2.25
Cs 0.3333 0.3333 0.9461  6 F 2.99-3.15
Cs 0.6667 0.6667 0.2795  6 F 2.99-3.15
Cs 0.3333 0.3333 0.7205  6 F 2.99-3.15
Cs 0.6667 0.6667 0.0539  6 F 2.99-3.15
Cs 0.0000 0.0000 0.6128  6 F 2.99-3.15
Cs 0.0000 0.0000 0.3872  6 F 2.99-3.15
Cu 0.3333 0.8334 0.8333  4 F 1.90
Cu 0.1666 0.6667 0.1667  4 F 1.90
Cu 0.5000 0.0000 0.5000  4 F 1.90
Cu 0.0000 0.5000 0.5000  4 F 1.90
Cu 0.5000 0.5000 0.5000  4 F 1.90
Cu 0.1666 0.1666 0.1667  4 F 1.90
Cu 0.6667 0.1666 0.1667  4 F 1.90
Cu 0.8334 0.3333 0.8333  4 F 1.90
Cu 0.8334 0.8334 0.8333  4 F 1.90
Zr 0.3333 0.3333 0.3333  6 F 2.02
Zr 0.6667 0.6667 0.6667  6 F 2.02
Zr 0.0000 0.0000 0.0000  6 F 2.02

Output
Offset from the most stable computed form: 10 meV per atom
Total moment: 2.29 μB per formula unit

---

No. 3
VASP calculation (GGA-PBE) on a relaxed ThAl10Fe2 crystal.

Cell: 6.7922 6.7922 9.0299 Å, 90.00 90.00 97.68°
Closest atoms and distances in Å follow each position.
Fractional coordinates of all 26 atoms:
Al 0.3761 0.6239 0.4511  6 Al 2.58-2.78, 2 Fe 2.62
Al 0.5907 0.8650 0.2500  2 Fe 2.54, 8 Al 2.63-2.82
Al 0.7723 0.7723 0.5000  2 Fe 2.56, 8 Al 2.69-2.84
Al 0.8394 0.1606 0.0997  2 Fe 2.58, 8 Al 2.58-2.86
Al 0.6239 0.3761 0.9511  6 Al 2.58-2.78, 2 Fe 2.62
Al 0.1350 0.4093 0.2500  2 Fe 2.54, 8 Al 2.63-2.82
Al 0.2277 0.2277 0.0000  2 Fe 2.56, 8 Al 2.69-2.84
Al 0.7787 0.5189 0.2500  7 Al 2.63-2.86, 2 Fe 2.72
Al 0.3761 0.6239 0.0489  6 Al 2.58-2.78, 2 Fe 2.62
Al 0.4811 0.2213 0.2500  7 Al 2.63-2.86, 2 Fe 2.72
Al 0.8394 0.1606 0.4003  2 Fe 2.58, 8 Al 2.58-2.86
Al 0.2277 0.2277 0.5000  2 Fe 2.56, 8 Al 2.69-2.84
Al 0.8650 0.5907 0.7500  2 Fe 2.54, 8 Al 2.63-2.82
Al 0.4093 0.1350 0.7500  2 Fe 2.54, 8 Al 2.63-2.82
Al 0.5189 0.7787 0.7500  7 Al 2.63-2.86, 2 Fe 2.72
Al 0.2213 0.4811 0.7500  7 Al 2.63-2.86, 2 Fe 2.72
Al 0.7723 0.7723 0.0000  2 Fe 2.56, 8 Al 2.69-2.84
Al 0.6239 0.3761 0.5489  6 Al 2.58-2.78, 2 Fe 2.62
Al 0.1606 0.8394 0.5997  2 Fe 2.58, 8 Al 2.58-2.86
Al 0.1606 0.8394 0.9003  2 Fe 2.58, 8 Al 2.58-2.86
Fe 0.0000 0.5000 0.0000  10 Al 2.54-2.72
Fe 0.0000 0.5000 0.5000  10 Al 2.54-2.72
Fe 0.5000 0.0000 0.0000  10 Al 2.54-2.72
Fe 0.5000 0.0000 0.5000  10 Al 2.54-2.72
Th 0.1254 0.8746 0.2500  14 Al 3.14-3.30, 4 Fe 3.42
Th 0.8746 0.1254 0.7500  14 Al 3.14-3.30, 4 Fe 3.42

Output
Space group: Cmcm, No. 63
Final energy: -5.0819 eV/atom
Total moment: 0.00 μB per formula unit